Entry from Alexandria: NaCo2Bi2 after structural relaxation (PBE-GGA).

Computed properties:
Energy of formation from the pure elements = 162 meV per atom
D(E_F) = 4.74 states/eV/f.u.

Cell lengths 7.901, 7.901, 7.901 Å; angles 151.28, 151.28, 41.07 degrees
Atoms (fractional coordinates):
Na 0.000 0.000 0.000
Co 0.250 0.750 0.500
Co 0.750 0.250 0.500
Bi 0.364 0.364 0.000
Bi 0.636 0.636 0.000